Here is crystalline Nd5TeSe4 at its relaxed geometry from Alexandria via LeMat-Bulk. Energies are from PBE.

DFT total energy	-58.201	eV per cell
M_tot	0.00	μB/f.u.
E_form (uncorrected)	-1.73	eV/atom
DOS(E_F)	4.4	states/eV per cell
energy above the lowest structure with this stoichiometry	20	meV/atom
space-group type	No. 139

abc: 4.290 4.290 15.479
angles: 97.96 97.96 90.00
Sites, in units of the cell vectors:
Nd  0.105  0.105  0.210
Nd  0.698  0.698  0.395
Nd  0.500  0.500  0.000
Nd  0.895  0.895  0.790
Nd  0.302  0.302  0.605
Se  0.600  0.600  0.199
Se  0.400  0.400  0.801
Se  0.797  0.797  0.594
Se  0.203  0.203  0.406
Te  0.000  0.000  0.000